# 1
BaCr2GeOs: relaxed, PBE.

Summary:
* electronic total energy: -6.332 eV/atom
* SG: P4/mmm
* D(E_F): 3.9 states/eV/f.u.

Structure (POSCAR):
```
BaCr2GeOs
1.0
-1.656 3.825 -2.378
-4.136 -3.395 -2.581
-3.021 0.936 3.609
Ba Ge Cr Os
1 1 2 1
direct
0.000 0.500 0.000
0.500 0.500 0.500
0.500 0.000 0.000
0.000 0.000 0.500
0.000 0.000 0.000
```


# 2
BaCrGe2Pd: relaxed, PBE.

Summary:
* electronic total energy: -3.172 eV/atom
* SG: P4/mmm
* D(E_F): 5.8 states/eV/f.u.

Structure (POSCAR):
```
BaCrGe2Pd
1.0
-1.287 -1.606 5.386
0.729 -5.040 -1.329
5.563 0.421 1.455
Pd Ge Cr Ba
1 2 1 1
direct
0.000 0.500 0.000
0.500 0.000 0.000
0.000 0.000 0.500
0.500 0.500 0.500
0.000 0.000 0.000
```


# 3
RbBaCrGe2: relaxed, PBE.

Summary:
* electronic total energy: -2.869 eV/atom
* SG: P4/mmm
* D(E_F): 3.8 states/eV/f.u.

Structure (POSCAR):
```
RbBaCrGe2
1.0
-5.126 -1.838 -1.816
1.956 -5.725 0.273
-1.799 -0.356 5.439
Cr Ba Ge Rb
1 1 2 1
direct
0.500 0.500 0.500
0.000 0.500 0.000
0.000 0.000 0.500
0.500 0.000 0.000
0.000 0.000 0.000
```


# 4
BaCrGeRu2: relaxed, PBE.

Summary:
* electronic total energy: -5.399 eV/atom
* SG: P4/mmm
* D(E_F): 7.4 states/eV/f.u.

Structure (POSCAR):
```
BaCrGeRu2
1.0
4.637 0.000 0.000
0.000 5.601 0.000
0.000 0.000 4.637
Cr Ba Ru Ge
1 1 2 1
direct
0.500 0.500 0.500
0.000 0.500 0.000
0.500 0.000 0.000
0.000 0.000 0.500
0.000 0.000 0.000
```


# 5
Ba2CrGeRu: relaxed, PBE.

Summary:
* electronic total energy: -4.794 eV/atom
* SG: P4/mmm
* D(E_F): 5.3 states/eV/f.u.

Structure (POSCAR):
```
Ba2CrGeRu
1.0
-3.916 -1.493 -4.577
-2.319 -2.440 2.780
-3.509 4.925 1.396
Ge Cr Ba Ru
1 1 2 1
direct
0.500 0.500 0.500
0.000 0.000 0.000
0.500 0.000 0.000
0.000 0.000 0.500
0.000 0.500 0.000
```


# 6
BaCr2GeTe: relaxed, PBE.

Summary:
* SG: P4/mmm
* D(E_F): 6.0 states/eV/f.u.
* formation energy without anion corrections: 1.79 eV/atom

Structure (POSCAR):
```
BaCr2GeTe
1.0
5.734 0.000 0.000
0.000 5.734 0.000
0.000 0.000 5.693
Ba Cr Te Ge
1 2 1 1
direct
0.000 0.000 0.000
0.000 0.500 0.000
0.500 0.000 0.000
0.500 0.500 0.500
0.000 0.000 0.500
```